## GaBiPb2Au (GGA-PBE)

Data for GaBiPb2Au after structural relaxation.

For the total energy, the calculation gives -2.987 eV per atom. The value obtained for the density of states at the Fermi level is 0.929 states/eV/atom. The value obtained for the energy relative to the elements is 0.53 eV per atom. The calculation puts the spin magnetization at 0.00 μB/cell.

The structure belongs to space group P4/mmm (No. 123); the cell edges are 5.4137, 5.4137 and 5.5185 Å and the angles 90.00°, 90.00° and 90.00°. The inequivalent atoms are Ga at (0.0000, 0.0000, 0.0000), Bi at (0.0000, 0.0000, 0.5000), Pb at (0.0000, 0.5000, 0.0000) and Au at (0.5000, 0.5000, 0.5000).

## CaSc2OsO8 (GGA-PBE)

Data for CaSc2OsO8 after structural relaxation.

For the formation energy from raw total energies, the calculation gives -2.295 eV per atom. For the total energy, the calculation gives -7.758 eV per atom. The calculation puts the spin magnetization at 0.00 μB/cell.

The structure belongs to space group Cmmm (No. 65); the cell edges are 6.8536, 6.9121 and 6.5662 Å and the angles 90.00°, 90.00° and 90.00°. The inequivalent atoms are Ca at (0.0000, 0.0000, 0.0000), Sc at (0.0000, 0.5000, 0.2346), Os at (0.0000, 0.0000, 0.5000), O at (0.0000, 0.2751, 0.5000), O at (0.0000, 0.3187, 0.0000) and O at (0.1922, 0.0000, 0.2989).

## LaSmGd2 (GGA-PBE)

Data for LaSmGd2 after structural relaxation.

For the total energy, the calculation gives -9.431 eV per atom. The offset from the most stable computed form comes out at 0.000 eV per atom. The value obtained for the density of states at the Fermi level is 1.715 states/eV/atom. The value obtained for the energy relative to the elements is 0.02 eV per atom. The calculation puts the spin magnetization at 14.80 μB/cell.

The structure belongs to space group P4/mmm (No. 123); the cell edges are 5.1426, 5.1426 and 5.1311 Å and the angles 90.00°, 90.00° and 90.00°. The inequivalent atoms are La at (0.0000, 0.0000, 0.0000), Sm at (0.5000, 0.5000, 0.0000) and Gd at (0.0000, 0.5000, 0.5000).